Material: CrGeO4
Method: DFT, PBE+U
State: optimized geometry

The structure belongs to space group P-42c (No. 112); the cell edges are 4.6754, 4.6754 and 8.3070 Å and the angles 90.00°, 90.00° and 90.00°. Symmetry generates all atoms from Cr at (0.0000, 0.0000, 0.0000), Ge at (0.0000, 0.5000, 0.2500) and O at (0.1896, 0.2637, 0.3807).

The calculation puts the total energy at -6.707 eV/atom.